# 1
Computed, not measured: a relaxed TiTlPd4 crystal at the PBE-GGA level of DFT.

```
data_TiTlPd4
_space_group_name_H-M_alt 'C 1 2/m 1'
_space_group_IT_number 12
_cell_length_a 4.8609
_cell_length_b 8.7014
_cell_length_c 4.8435
_cell_angle_alpha 90.00
_cell_angle_beta 105.29
_cell_angle_gamma 90.00
loop_
_space_group_symop_operation_xyz
'x,y,z'
'-x,-y,-z'
'-x,y,-z'
'x,-y,z'
'x+1/2,y+1/2,z'
'-x+1/2,-y+1/2,-z'
'-x+1/2,y+1/2,-z'
'x+1/2,-y+1/2,z'
loop_
_atom_site_label
_atom_site_type_symbol
_atom_site_fract_x
_atom_site_fract_y
_atom_site_fract_z
Ti1 Ti 0.0000 0.0000 0.0000
Tl1 Tl 0.0000 0.5000 0.5000
Pd1 Pd 0.0000 0.1619 0.5000
Pd2 Pd 0.0000 0.3329 0.0000
```

The calculated formation energy comes out at -348 meV per atom. The volume is 16.47 A^3/atom. The size of the total moment is 0.00 μB/cell. Its calculated total energy is -66.2 eV for the cell shown.



# 2
Computed, not measured: a relaxed TiTl3Pd crystal at the PBE-GGA level of DFT.

```
data_TiTl3Pd
_space_group_name_H-M_alt 'P m -3 m'
_space_group_IT_number 221
_space_group_name_Hall '-P 4 2 3'
_cell_length_a 5.2190
_cell_length_b 5.2190
_cell_length_c 5.2190
_cell_angle_alpha 90.00
_cell_angle_beta 90.00
_cell_angle_gamma 90.00
loop_
_atom_site_label
_atom_site_type_symbol
_atom_site_fract_x
_atom_site_fract_y
_atom_site_fract_z
Ti1 Ti 0.0000 0.0000 0.0000
Tl1 Tl 0.0000 0.5000 0.5000
Pd1 Pd 0.5000 0.5000 0.5000
```

Its polymorph energy (0 for the lowest one) is 0 meV per atom. The calculated formation energy comes out at 636 meV per atom. The volume is 28.43 A^3/atom. The size of the total moment is 0.00 μB/cell. Its calculated total energy is -17.0 eV for the cell shown.



# 3
Computed, not measured: a relaxed Ti4TlPd2 crystal at the PBE-GGA level of DFT.

```
data_Ti4TlPd2
_space_group_name_H-M_alt 'I 4/m m m'
_space_group_IT_number 139
_space_group_name_Hall '-I 4 2'
_cell_length_a 4.9987
_cell_length_b 4.9987
_cell_length_c 12.8997
_cell_angle_alpha 90.00
_cell_angle_beta 90.00
_cell_angle_gamma 90.00
loop_
_atom_site_label
_atom_site_type_symbol
_atom_site_fract_x
_atom_site_fract_y
_atom_site_fract_z
Ti1 Ti 0.0000 0.0000 0.2109
Ti2 Ti 0.0000 0.5000 0.0000
Tl1 Tl 0.0000 0.0000 0.0000
Pd1 Pd 0.0000 0.0000 0.3962
```

The calculated formation energy comes out at 775 meV per atom. The volume is 23.02 A^3/atom. The size of the total moment is 5.45 μB/cell. Its calculated total energy is -77.8 eV for the cell shown.